(1)
Compound: In12Ga5Sn3
Source: Alexandria
Functional: GGA-PBE
Structure: optimized geometry

Lattice parameters (Å, degrees): 14.5901 14.5901 14.5901 109.47 109.47 109.47
Last column: nearest neighbours and their distance in Å.
Sites, in units of the cell vectors:
Sn (0.7500, 0.3750, 0.1250)  8 In 3.05-3.26
Sn (0.8750, 0.7500, 0.1250)  8 In 3.05-3.26
Sn (0.3750, 0.7500, 0.6250)  8 In 3.05-3.26
Sn (0.2500, 0.1250, 0.3750)  8 In 3.05-3.26
Sn (0.8750, 0.1250, 0.2500)  8 In 3.05-3.26
Sn (0.3750, 0.6250, 0.2500)  8 In 3.05-3.26
Sn (0.6250, 0.3750, 0.7500)  8 In 3.05-3.26
Sn (0.1250, 0.8750, 0.7500)  8 In 3.05-3.26
Sn (0.7500, 0.8750, 0.6250)  8 In 3.05-3.26
Sn (0.6250, 0.2500, 0.3750)  8 In 3.05-3.26
Sn (0.1250, 0.2500, 0.8750)  8 In 3.05-3.26
Sn (0.2500, 0.6250, 0.8750)  8 In 3.05-3.26
Ga (0.1250, 0.3750, 0.2500)  4 In 2.71
Ga (0.0000, 0.5000, 0.0000)  6 In 2.81
Ga (0.0000, 0.0000, 0.0000)  6 In 2.81
Ga (0.3750, 0.2500, 0.1250)  4 In 2.71
Ga (0.5000, 0.0000, 0.5000)  6 In 2.81
Ga (0.5000, 0.5000, 0.0000)  6 In 2.81
Ga (0.1250, 0.7500, 0.3750)  4 In 2.71
Ga (0.7500, 0.1250, 0.8750)  4 In 2.71
Ga (0.7500, 0.6250, 0.3750)  4 In 2.71
Ga (0.3750, 0.1250, 0.7500)  4 In 2.71
Ga (0.6250, 0.8750, 0.2500)  4 In 2.71
Ga (0.5000, 0.5000, 0.5000)  6 In 2.81
Ga (0.5000, 0.0000, 0.0000)  6 In 2.81
Ga (0.0000, 0.0000, 0.5000)  6 In 2.81
Ga (0.2500, 0.3750, 0.6250)  4 In 2.71
Ga (0.2500, 0.8750, 0.1250)  4 In 2.71
Ga (0.0000, 0.5000, 0.5000)  6 In 2.81
Ga (0.8750, 0.2500, 0.6250)  4 In 2.71
Ga (0.6250, 0.7500, 0.8750)  4 In 2.71
Ga (0.8750, 0.6250, 0.7500)  4 In 2.71
In (0.7207, 0.1256, 0.0493)  2 Ga 2.71-2.81
In (0.3286, 0.5493, 0.4236)  2 Ga 2.71-2.81
In (0.9507, 0.3744, 0.2793)  2 Ga 2.71-2.81
In (0.5493, 0.2207, 0.1256)  2 Ga 2.71-2.81
In (0.5951, 0.7207, 0.6714)  2 Ga 2.71-2.81
In (0.9507, 0.5764, 0.1714)  2 Ga 2.71-2.81
In (0.3286, 0.7793, 0.4049)  2 Ga 2.71-2.81
In (0.0764, 0.9049, 0.1256)  2 Ga 2.71-2.81
In (0.5764, 0.9507, 0.6714)  2 Ga 2.71-2.81
In (0.7207, 0.5951, 0.1714)  2 Ga 2.71-2.81
In (0.7793, 0.4507, 0.3744)  2 Ga 2.71-2.81
In (0.8286, 0.9236, 0.0493)  2 Ga 2.71-2.81
In (0.1256, 0.7207, 0.5493)  2 Ga 2.71-2.81
In (0.3744, 0.4236, 0.0951)  2 Ga 2.71-2.81
In (0.0951, 0.9236, 0.3744)  2 Ga 2.71-2.81
In (0.4049, 0.1256, 0.5764)  2 Ga 2.71-2.81
In (0.0951, 0.1714, 0.2207)  2 Ga 2.71-2.81
In (0.4507, 0.6714, 0.0764)  2 Ga 2.71-2.81
In (0.8286, 0.9049, 0.2793)  2 Ga 2.71-2.81
In (0.1256, 0.4049, 0.0764)  2 Ga 2.71-2.81
In (0.3744, 0.9507, 0.7793)  2 Ga 2.71-2.81
In (0.5764, 0.6256, 0.4049)  2 Ga 2.71-2.81
In (0.9236, 0.8286, 0.5493)  2 Ga 2.71-2.81
In (0.7793, 0.3286, 0.9049)  2 Ga 2.71-2.81
In (0.4236, 0.3744, 0.5951)  2 Ga 2.71-2.81
In (0.0764, 0.1714, 0.4507)  2 Ga 2.71-2.81
In (0.2207, 0.6714, 0.0951)  2 Ga 2.71-2.81
In (0.1714, 0.0951, 0.7207)  2 Ga 2.71-2.81
In (0.6256, 0.0493, 0.2207)  2 Ga 2.71-2.81
In (0.8744, 0.5951, 0.9236)  2 Ga 2.71-2.81
In (0.5493, 0.3286, 0.9236)  2 Ga 2.71-2.81
In (0.5951, 0.8744, 0.4236)  2 Ga 2.71-2.81
In (0.9049, 0.8286, 0.7793)  2 Ga 2.71-2.81
In (0.9049, 0.0764, 0.6256)  2 Ga 2.71-2.81
In (0.8744, 0.2793, 0.4507)  2 Ga 2.71-2.81
In (0.1714, 0.0764, 0.9507)  2 Ga 2.71-2.81
In (0.6256, 0.5764, 0.9049)  2 Ga 2.71-2.81
In (0.4236, 0.0493, 0.3286)  2 Ga 2.71-2.81
In (0.2793, 0.4049, 0.8286)  2 Ga 2.71-2.81
In (0.2207, 0.5493, 0.6256)  2 Ga 2.71-2.81
In (0.9236, 0.0951, 0.8744)  2 Ga 2.71-2.81
In (0.6714, 0.2207, 0.5951)  2 Ga 2.71-2.81
In (0.4507, 0.7793, 0.8744)  2 Ga 2.71-2.81
In (0.0493, 0.4236, 0.8286)  2 Ga 2.71-2.81
In (0.4049, 0.2793, 0.3286)  2 Ga 2.71-2.81
In (0.0493, 0.6256, 0.7207)  2 Ga 2.71-2.81
In (0.6714, 0.4507, 0.5764)  2 Ga 2.71-2.81
In (0.2793, 0.8744, 0.9507)  2 Ga 2.71-2.81

Uncorrected energy (eV per cell): -229.45
DOS at the Fermi energy (states/eV per cell): 38.7

---

(2)
Compound: In2GaSn2
Source: Alexandria
Functional: GGA-PBE
Structure: optimized geometry

Lattice parameters (Å, degrees): 3.5976 7.8878 6.7279 133.22 105.04 90.55
Last column: nearest neighbours and their distance in Å.
Sites, in units of the cell vectors:
In (0.4135, 0.2114, 0.8307)  2 Ga 3.12-3.15, 5 Sn 3.29-3.36, 1 In 3.36
In (0.5865, 0.7886, 0.1693)  2 Ga 3.12-3.15, 5 Sn 3.29-3.36, 1 In 3.36
Ga (0.0000, 0.0000, 0.0000)  4 In 3.12-3.15, 4 Sn 3.14-3.15
Sn (0.2221, 0.6319, 0.4393)  2 Ga 3.14-3.15, 2 Sn 3.24-3.25, 5 In 3.29-3.36
Sn (0.7779, 0.3681, 0.5607)  2 Ga 3.14-3.15, 2 Sn 3.24-3.25, 5 In 3.29-3.36

Energy above the most stable polymorph in this dataset (eV/atom): 0.000
DOS at the Fermi energy (states/eV per cell): 2.2

---

(3)
Compound: In4Ga3Sn
Source: Alexandria
Functional: GGA-PBE
Structure: optimized geometry

Lattice parameters (Å, degrees): 9.1416 6.3230 6.8945 90.05 89.98 97.84
Last column: nearest neighbours and their distance in Å.
Sites, in units of the cell vectors:
Sn (0.0826, 0.1918, 0.4847)  3 Ga 2.95-3.16, 4 In 3.12-3.23
Sn (0.5855, 0.6952, 0.5165)  3 Ga 2.95-3.18, 5 In 3.13-3.29
Ga (0.9131, 0.6761, 0.0438)  3 Ga 2.74-2.98, 2 In 2.95-3.03
Ga (0.1531, 0.9102, 0.8025)  3 In 2.85-3.03, 3 Ga 2.92-2.98, 1 Sn 2.95
Ga (0.3389, 0.4428, 0.2459)  2 Ga 2.75-2.92, 2 In 2.89-3.04
Ga (0.4126, 0.1780, 0.9566)  3 Ga 2.75-2.98, 2 In 2.95-3.04
Ga (0.6526, 0.4121, 0.1982)  3 In 2.85-3.03, 3 Ga 2.92-2.98, 1 Sn 2.95
Ga (0.8393, 0.9423, 0.7573)  2 Ga 2.74-2.92, 2 In 2.89-3.05
In (0.0546, 0.2854, 0.0155)  4 Ga 2.95-3.25, 2 In 3.19-3.24
In (0.9476, 0.6222, 0.4780)  3 Ga 3.03-3.30, 1 Sn 3.14, 2 In 3.23
In (0.2241, 0.8462, 0.2256)  4 Ga 2.89-3.16, 1 Sn 3.23, 2 In 3.23
In (0.2865, 0.5376, 0.7242)  2 Ga 2.85-3.13, 2 Sn 3.13-3.14, 1 In 3.19
In (0.4479, 0.1228, 0.5220)  3 Ga 3.04-3.30, 1 Sn 3.13, 2 In 3.23
In (0.5514, 0.7839, 0.9842)  4 Ga 2.95-3.25, 2 In 3.18-3.24, 1 Sn 3.29
In (0.7242, 0.3455, 0.7752)  4 Ga 2.89-3.16, 2 In 3.23, 1 Sn 3.23
In (0.7861, 0.0384, 0.2699)  2 Ga 2.85-3.12, 2 Sn 3.12-3.14, 1 In 3.18

Uncorrected energy (eV per cell): -47.53
DOS at the Fermi energy (states/eV per cell): 4.5

---

(4)
Compound: In3Ga2Sn4
Source: Alexandria
Functional: GGA-PBE
Structure: optimized geometry

Lattice parameters (Å, degrees): 6.6482 11.6281 8.9175 49.31 72.63 90.00
Last column: nearest neighbours and their distance in Å.
Sites, in units of the cell vectors:
In (0.8449, 0.8329, 0.1908)  1 Ga 2.91, 1 In 3.08, 2 Sn 3.09-3.13
In (0.6551, 0.0237, 0.8092)  1 Ga 2.91, 1 In 3.08, 2 Sn 3.09-3.13
In (0.1551, 0.1671, 0.8092)  1 Ga 2.91, 1 In 3.08, 2 Sn 3.09-3.13
In (0.3449, 0.9763, 0.1908)  1 Ga 2.91, 1 In 3.08, 2 Sn 3.09-3.13
In (0.2500, 0.4824, 0.0000)  2 Ga 3.12, 6 Sn 3.31-3.42, 2 In 3.35
In (0.7500, 0.5176, 0.0000)  2 Ga 3.12, 6 Sn 3.31-3.42, 2 In 3.35
Ga (0.4413, 0.5903, 0.5488)  1 Ga 2.78, 3 Sn 2.80-2.99, 1 In 2.91
Ga (0.0587, 0.1391, 0.4512)  1 Ga 2.78, 3 Sn 2.80-2.99, 1 In 2.91
Ga (0.5587, 0.4097, 0.4512)  1 Ga 2.78, 3 Sn 2.80-2.99, 1 In 2.91
Ga (0.9413, 0.8609, 0.5488)  1 Ga 2.78, 3 Sn 2.80-2.99, 1 In 2.91
Sn (0.4076, 0.6664, 0.1439)  2 Ga 2.90-3.19, 1 In 3.13, 1 Sn 3.15
Sn (0.0924, 0.8104, 0.8561)  2 Ga 2.90-3.19, 1 In 3.13, 1 Sn 3.15
Sn (0.5924, 0.3336, 0.8561)  2 Ga 2.90-3.19, 1 In 3.13, 1 Sn 3.15
Sn (0.9076, 0.1896, 0.1439)  2 Ga 2.90-3.19, 1 In 3.13, 1 Sn 3.15
Sn (0.0239, 0.6115, 0.5421)  2 Ga 2.80-2.99, 1 In 3.09
Sn (0.4761, 0.1536, 0.4579)  2 Ga 2.80-2.99, 1 In 3.09
Sn (0.9761, 0.3885, 0.4579)  2 Ga 2.80-2.99, 1 In 3.09
Sn (0.5239, 0.8464, 0.5421)  2 Ga 2.80-2.99, 1 In 3.09

Uncorrected energy (eV per cell): -59.44
DOS at the Fermi energy (states/eV per cell): 8.2

---

(5)
Compound: In5Ga2Sn2
Source: Alexandria
Functional: GGA-PBE
Structure: optimized geometry

Lattice parameters (Å, degrees): 4.4303 8.1555 7.0357 80.49 108.35 90.00
Last column: nearest neighbours and their distance in Å.
Sites, in units of the cell vectors:
In (0.6791, 0.9252, 0.3582)  3 Ga 2.85-3.05
In (0.3209, 0.0748, 0.6418)  3 Ga 2.85-3.05
In (0.8686, 0.5133, 0.7371)  3 Ga 2.87-3.01
In (0.1314, 0.4867, 0.2629)  3 Ga 2.87-3.01
In (0.0000, 0.0000, 0.0000)  4 Sn 3.23, 4 In 3.24
Ga (0.7358, 0.2719, 0.4716)  6 In 2.85-3.05, 1 Sn 2.92
Ga (0.2642, 0.7281, 0.5284)  6 In 2.85-3.05, 1 Sn 2.92
Sn (0.5160, 0.2818, 0.0320)  1 Ga 2.92, 2 In 3.23
Sn (0.4840, 0.7182, 0.9680)  1 Ga 2.92, 2 In 3.23

Uncorrected energy (eV per cell): -27.30
DOS at the Fermi energy (states/eV per cell): 3.2

---

(6)
Compound: In3GaSn
Source: Alexandria
Functional: GGA-PBE
Structure: optimized geometry

Lattice parameters (Å, degrees): 5.7269 5.7269 5.7269 90.00 90.00 90.00
Last column: nearest neighbours and their distance in Å.
Sites, in units of the cell vectors:
Sn (0.0000, 0.0000, 0.0000)  6 In 2.86
Ga (0.5000, 0.5000, 0.5000)  12 In 4.05
In (0.0000, 0.5000, 0.0000)  2 Sn 2.86
In (0.0000, 0.0000, 0.5000)  2 Sn 2.86
In (0.5000, 0.0000, 0.0000)  2 Sn 2.86

Energy above the most stable polymorph in this dataset (eV/atom): 0.497
DOS at the Fermi energy (states/eV per cell): 3.0

---

Copy entry 2 word for word.
Compound: In2GaSn2
Source: Alexandria
Functional: GGA-PBE
Structure: optimized geometry

Lattice parameters (Å, degrees): 3.5976 7.8878 6.7279 133.22 105.04 90.55
Last column: nearest neighbours and their distance in Å.
Sites, in units of the cell vectors:
In (0.4135, 0.2114, 0.8307)  2 Ga 3.12-3.15, 5 Sn 3.29-3.36, 1 In 3.36
In (0.5865, 0.7886, 0.1693)  2 Ga 3.12-3.15, 5 Sn 3.29-3.36, 1 In 3.36
Ga (0.0000, 0.0000, 0.0000)  4 In 3.12-3.15, 4 Sn 3.14-3.15
Sn (0.2221, 0.6319, 0.4393)  2 Ga 3.14-3.15, 2 Sn 3.24-3.25, 5 In 3.29-3.36
Sn (0.7779, 0.3681, 0.5607)  2 Ga 3.14-3.15, 2 Sn 3.24-3.25, 5 In 3.29-3.36

Energy above the most stable polymorph in this dataset (eV/atom): 0.000
DOS at the Fermi energy (states/eV per cell): 2.2